(w)
Material: NiHg2Ru
Method: DFT, PBE-GGA
State: optimized geometry

Cell lengths 4.0682, 4.0682, 8.1629 Å; angles 90.00, 90.00, 90.00 degrees
Last column: nearest neighbours and their distance in Å.
Space group I-4m2 (No. 119)
Symmetry-distinct sites (fractional):
Ni 0.0000 0.0000 0.0000 (multiplicity 2)  8 Hg 2.88, 4 Ru 2.88
Hg 0.0000 0.0000 0.5000 (multiplicity 2)  4 Ni 2.88, 4 Hg 2.88, 4 Ru 2.88
Hg 0.0000 0.5000 0.2500 (multiplicity 2)  4 Ru 2.88, 4 Ni 2.88, 4 Hg 2.88
Ru 0.0000 0.5000 0.7500 (multiplicity 2)  8 Hg 2.88, 4 Ni 2.88

## Properties
Its density of states at the Fermi level is 9.62 states/eV/cell.

---

(x)
Material: NiHg2Ru
Method: DFT, PBE-GGA
State: optimized geometry

Cell lengths 6.3798, 6.3890, 3.2753 Å; angles 90.00, 90.00, 90.00 degrees
Last column: nearest neighbours and their distance in Å.
Space group Cmmm (No. 65)
Symmetry-distinct sites (fractional):
Ni 0.0000 0.0000 0.0000 (multiplicity 2)  8 Hg 2.79
Hg 0.2500 0.2500 0.5000 (multiplicity 4)  4 Ru 2.79, 4 Ni 2.79
Ru 0.0000 0.5000 0.0000 (multiplicity 2)  8 Hg 2.79

## Properties
Its density of states at the Fermi level is 10.93 states/eV/cell.

---

So which one wins? Going from most stable to least: (x), (w).